No. 1
Material: CsSe2S2
Method: DFT, SCAN
State: single point on PBEsol structure

Summary:
DFT total energy, eV/atom: -19.75

abc: 9.1674 9.1674 3.9511
angles: 90.00 90.00 90.00
Closest atoms and distances in Å follow each position.
Space group P4/mbm (No. 127)
Inequivalent atoms, fractional coordinates:
Cs 0.0000 0.0000 0.0000  4 Se 3.51, 8 S 3.80
Se 0.1466 0.3534 0.0000  2 S 2.30
S 0.2371 0.2629 0.5000  2 Se 2.30


No. 2
Material: Cu2HgBr
Method: DFT, SCAN
State: single point on PBEsol structure

Summary:
DFT total energy, eV/atom: -29.26
E above lowest polymorph, eV/atom: 0.1914

abc: 3.3749 3.3749 6.2329
angles: 90.00 90.00 90.00
Closest atoms and distances in Å follow each position.
Space group P4/mmm (No. 123)
Inequivalent atoms, fractional coordinates:
Cu 0.0000 0.0000 0.2012  1 Cu 2.51, 4 Hg 2.70
Hg 0.5000 0.5000 0.0000  8 Cu 2.70
Br 0.5000 0.5000 0.5000  8 Cu 3.03, 2 Hg 3.12, 4 Br 3.37


no.,uncorrected formation energy (meV per atom)
1,-308
2,246